Material: CuP2CS
Method: DFT, PBE-GGA
State: optimized geometry

Geometry as POSCAR:
```
CuP2CS
1.0
4.3982 0.0000 0.0000
0.0000 4.3982 0.0000
0.0000 0.0000 4.5352
P S C Cu
2 1 1 1
direct
0.5000 0.0000 0.0000
0.0000 0.5000 0.0000
0.0000 0.0000 0.5000
0.5000 0.5000 0.5000
0.0000 0.0000 0.0000
```

Properties
The offset from the most stable computed form is 83.0 kJ per mole of atoms. The electronic total energy comes out at -3.59 eV/atom. The space group is No. 123.